This record from the Alexandria database describes a geometry-optimized Ti2NbI structure. The functional is PBE.

Output
- Distance to the lowest polymorph of the same formula: 220 meV/atom
- Formation energy without anion corrections: 0.651 eV/atom

Unit cell a=4.1053 b=4.1053 c=10.0312 alpha=78.19 beta=78.19 gamma=90.00
Positions (direct):
Ti 0.8750 0.8769 0.7500
Ti 0.3750 0.3731 0.7500
Ti 0.1231 0.6250 0.2500
Ti 0.6269 0.1250 0.2500
Nb 0.5000 0.5000 0.0000
Nb 0.2500 0.7500 0.5000
I 0.0000 0.0000 0.0000
I 0.7500 0.2500 0.5000